Below is Nd2Al3Pd2 after structural relaxation, with properties calculated at the PBE-GGA level.

Structure (POSCAR):
```
Nd2Al3Pd2
1.0
5.380 -2.151 0.000
5.380 2.151 0.000
-3.310 0.000 6.319
Nd Al Pd
2 3 2
direct
0.142 0.142 0.275
0.858 0.858 0.725
0.363 0.363 0.065
0.500 0.500 0.500
0.637 0.637 0.935
0.135 0.135 0.717
0.865 0.865 0.283
```

Summary:
SG ... No. 12
Electronic total energy ... -5.19 eV/atom
Total magnetization ... 0.000 μB per formula unit

Below is LaTb6Er12 after structural relaxation, with properties calculated at the PBE-GGA level.

Structure (POSCAR):
```
LaTb6Er12
1.0
5.926 3.421 5.035
-5.926 3.421 5.035
0.000 -6.843 5.035
La Tb Er
1 6 12
direct
0.000 0.000 0.000
0.089 0.256 0.683
0.256 0.683 0.089
0.317 0.911 0.744
0.683 0.089 0.256
0.744 0.317 0.911
0.911 0.744 0.317
0.008 0.353 0.216
0.216 0.008 0.353
0.229 0.564 0.454
0.353 0.216 0.008
0.436 0.546 0.771
0.454 0.229 0.564
0.546 0.771 0.436
0.564 0.454 0.229
0.647 0.784 0.992
0.771 0.436 0.546
0.784 0.992 0.647
0.992 0.647 0.784
```

Summary:
Relative energy among the computed polymorphs ... 0.00 eV/f.u.
SG ... No. 148
Electronic total energy ... -4.44 eV/atom
Total magnetization ... 0.001 μB per formula unit

Below is BaTaCr2W after structural relaxation, with properties calculated at the PBE-GGA level.

Structure (POSCAR):
```
BaTaCr2W
1.0
4.569 0.000 0.000
0.000 4.569 0.000
0.000 0.000 5.498
Ba Ta Cr W
1 1 2 1
direct
0.000 0.000 0.000
0.500 0.500 0.000
0.000 0.500 0.500
0.500 0.000 0.500
0.000 0.000 0.500
```

Summary:
SG ... No. 123
Electronic total energy ... -6.88 eV/atom
Total magnetization ... 0.017 μB per formula unit

Number 1: D(E_F) 4.79 states/eV/f.u., ΔH_f (0 K) -0.74 eV/atom. Number 2: D(E_F) 30.59 states/eV/f.u., ΔH_f (0 K) 0.16 eV/atom. Number 3: D(E_F) 8.67 states/eV/f.u., ΔH_f (0 K) 2.31 eV/atom.